A plane-wave DFT calculation with PBE-GGA was carried out for an optimized crystal structure of In6Hg6Pb.

N(E_F) = 6.8 states/eV/f.u.
Formation enthalpy at 0 K = 0.066 eV per atom
DFT total energy = -1.62 eV/atom
Energy above the lowest structure with this stoichiometry = 0.06 kcal/mol of atoms

Geometry as extended XYZ:
```
13
Lattice="3.241 -5.634 0.000 3.241 5.634 0.000 0.000 0.000 9.921" Properties=species:S:1:pos:R:3 pbc="T T T"
In 0.000 0.000 2.465
In 0.000 0.000 7.456
In 1.621 2.817 2.464
In 1.621 2.817 7.457
In 1.621 -2.817 2.464
In 1.621 -2.817 7.457
Hg 3.241 3.761 0.000
Hg 3.241 3.759 4.961
Hg 3.241 0.000 3.442
Hg 3.241 0.000 6.479
Hg 3.241 -3.761 0.000
Hg 3.241 -3.759 4.961
Pb 3.241 0.000 0.000
```

---

A plane-wave DFT calculation with PBE-GGA was carried out for an optimized crystal structure of BeSn2Pd8.

N(E_F) = 3.9 states/eV/f.u.
Formation enthalpy at 0 K = -0.410 eV per atom
DFT total energy = -5.25 eV/atom

Geometry as extended XYZ:
```
11
Lattice="7.204 -2.269 0.000 7.204 2.269 0.000 -2.323 0.000 5.355" Properties=species:S:1:pos:R:3 pbc="T T T"
Be 0.000 0.000 0.000
Sn 3.839 0.000 1.706
Sn 8.245 0.000 3.649
Pd 0.908 0.000 2.076
Pd -0.125 0.000 4.767
Pd 2.708 0.000 4.314
Pd 6.588 0.000 1.297
Pd 5.496 0.000 4.058
Pd 9.376 0.000 1.041
Pd 12.209 0.000 0.588
Pd 11.176 0.000 3.279
```

---

A plane-wave DFT calculation with PBE-GGA was carried out for an optimized crystal structure of AlSbPt2.

N(E_F) = 1.8 states/eV/f.u.
DFT total energy = -5.33 eV/atom
Energy above the lowest structure with this stoichiometry = 4.65 kcal/mol of atoms
Uncorrected formation energy = -0.35 eV per atom

Geometry as extended XYZ:
```
4
Lattice="4.753 0.000 0.000 0.000 4.753 0.000 0.000 0.000 3.120" Properties=species:S:1:pos:R:3 pbc="T T T"
Al 0.000 0.000 0.000
Sb 2.376 2.376 0.000
Pt 0.000 2.376 1.560
Pt 2.376 0.000 1.560
```

---

A plane-wave DFT calculation with PBE-GGA was carried out for an optimized crystal structure of CsCrPS2.

N(E_F) = 6.7 states/eV/f.u.
DFT total energy = -4.93 eV/atom
Uncorrected formation energy = -0.10 eV per atom

Geometry as extended XYZ:
```
5
Lattice="4.895 0.000 0.000 0.000 4.895 0.000 0.000 0.000 4.632" Properties=species:S:1:pos:R:3 pbc="T T T"
Cs 0.000 0.000 0.000
Cr 2.448 2.448 2.316
P 2.448 2.448 0.000
S 0.000 2.448 2.316
S 2.448 0.000 2.316
```

---

A plane-wave DFT calculation with PBE-GGA was carried out for an optimized crystal structure of Sm4TlGaN.

N(E_F) = 4.3 states/eV/f.u.
DFT total energy = -5.32 eV/atom
Uncorrected formation energy = -0.67 eV per atom

Geometry as extended XYZ:
```
14
Lattice="3.431 -7.858 0.000 3.431 7.858 0.000 0.000 0.000 6.872" Properties=species:S:1:pos:R:3 pbc="T T T"
Sm 1.716 3.929 0.000
Sm 1.716 3.929 3.436
Sm 3.431 6.621 5.154
Sm 3.431 1.365 5.154
Sm 1.716 -3.929 0.000
Sm 1.716 -3.929 3.436
Sm 3.431 -1.365 1.718
Sm 3.431 -6.621 1.718
Tl 3.431 1.755 1.718
Tl 3.431 -1.755 5.154
Ga 3.431 5.989 1.718
Ga 3.431 -5.989 5.154
N 3.431 3.920 5.154
N 3.431 -3.920 1.718
```

---

A plane-wave DFT calculation with PBE-GGA was carried out for an optimized crystal structure of La11Hg9Ru4.

N(E_F) = 17.9 states/eV/f.u.
Formation enthalpy at 0 K = -0.446 eV per atom
DFT total energy = -4.36 eV/atom

Geometry as extended XYZ:
```
24
Lattice="7.440 -11.163 0.000 7.440 11.163 0.000 0.000 0.000 3.901" Properties=species:S:1:pos:R:3 pbc="T T T"
La 0.000 0.000 0.000
La 3.762 3.702 0.000
La 7.440 7.514 0.000
La 4.624 0.000 0.000
La 7.440 2.809 0.000
La 3.762 -3.702 0.000
La 11.117 3.702 0.000
La 7.440 -2.809 0.000
La 10.255 0.000 0.000
La 7.440 -7.514 0.000
La 11.117 -3.702 0.000
Hg 2.138 1.599 1.951
Hg 5.867 5.346 1.951
Hg 2.138 -1.599 1.951
Hg 9.012 5.346 1.951
Hg 7.440 0.000 1.951
Hg 5.867 -5.346 1.951
Hg 12.742 1.599 1.951
Hg 9.012 -5.346 1.951
Hg 12.742 -1.599 1.951
Ru 5.183 2.306 1.951
Ru 5.183 -2.306 1.951
Ru 9.696 2.306 1.951
Ru 9.696 -2.306 1.951
```